No. 1
{
  "formula": "KSrIrCl6",
  "functional": "PBE",
  "state": "relaxed",
  "magmom_total_mub_per_fu": 0.00,
  "space_group": "P-31c",
  "e_tot_ev_per_atom": -3.9825,
  "formation_energy_uncorrected_ev_per_atom": -1.458,
  "lattice_angstrom": [[-0.9864, -6.8567, -1.0620], [6.4443, 2.7209, -0.4287], [1.7973, -2.2405, 12.7962]],
  "species": ["K", "K", "Sr", "Sr", "Ir", "Ir", "Cl", "Cl", "Cl", "Cl", "Cl", "Cl", "Cl", "Cl", "Cl", "Cl", "Cl", "Cl"],
  "fractional_positions": [[0.0000, 0.0000, 0.0000], [0.0000, 0.0000, 0.5000], [0.3333, 0.6667, 0.2500], [0.6667, 0.3333, 0.7500], [0.6667, 0.3333, 0.2500], [0.3333, 0.6667, 0.7500], [0.6623, 0.6051, 0.1427], [0.9428, 0.3377, 0.1427], [0.3377, 0.9428, 0.6427], [0.0572, 0.6623, 0.8573], [0.3949, 0.3377, 0.3573], [0.9428, 0.6051, 0.3573], [0.6051, 0.9428, 0.8573], [0.6623, 0.0572, 0.3573], [0.0572, 0.3949, 0.6427], [0.3949, 0.0572, 0.1427], [0.6051, 0.6623, 0.6427], [0.3377, 0.3949, 0.8573]]
}

No. 2
{
  "formula": "Zr2AgHgH",
  "functional": "PBE",
  "state": "relaxed",
  "magmom_total_mub_per_fu": 0.00,
  "space_group": "P4/mmm",
  "e_tot_ev_per_atom": -4.9059,
  "lattice_angstrom": [[4.3951, 0.0000, 0.0000], [0.0000, 4.3951, 0.0000], [0.0000, 0.0000, 4.3850]],
  "species": ["Zr", "Zr", "Hg", "Ag", "H"],
  "fractional_positions": [[0.0000, 0.5000, 0.0000], [0.5000, 0.0000, 0.0000], [0.5000, 0.5000, 0.5000], [0.0000, 0.0000, 0.5000], [0.0000, 0.0000, 0.0000]]
}

No. 3
{
  "formula": "Dy2Zr3Si4",
  "functional": "PBE",
  "state": "relaxed",
  "magmom_total_mub_per_fu": 0.00,
  "space_group": "P2_1/c",
  "e_tot_ev_per_atom": -7.1662,
  "formation_energy_uncorrected_ev_per_atom": -0.884,
  "lattice_angstrom": [[7.1186, 0.0341, 0.0000], [-2.3064, 6.9525, 0.0000], [0.0000, 0.0000, 7.3314]],
  "species": ["Dy", "Dy", "Dy", "Dy", "Zr", "Zr", "Zr", "Zr", "Zr", "Zr", "Si", "Si", "Si", "Si", "Si", "Si", "Si", "Si"],
  "fractional_positions": [[0.5745, 0.1926, 0.3273], [0.9255, 0.8074, 0.8273], [0.4255, 0.8074, 0.6727], [0.0745, 0.1926, 0.1727], [0.0000, 0.5000, 0.5000], [0.5000, 0.5000, 0.0000], [0.7491, 0.2519, 0.8191], [0.7509, 0.7481, 0.3191], [0.2509, 0.7481, 0.1809], [0.2491, 0.2519, 0.6809], [0.8709, 0.0812, 0.5318], [0.6291, 0.9188, 0.0318], [0.1291, 0.9188, 0.4682], [0.3709, 0.0812, 0.9682], [0.8725, 0.4916, 0.1222], [0.6275, 0.5084, 0.6222], [0.1275, 0.5084, 0.8778], [0.3725, 0.4916, 0.3778]]
}